# GGA-PBE CoPSN, relaxed
data_CoPSN
_cell_length_a 4.402
_cell_length_b 4.402
_cell_length_c 5.733
_cell_angle_alpha 119.02
_cell_angle_beta 119.02
_cell_angle_gamma 40.43
_symmetry_space_group_name_H-M 'P 1'
_symmetry_Int_Tables_number 1
_symmetry_space_group_name_Hall 'P 1'
loop_
_atom_site_label
_atom_site_fract_x
_atom_site_fract_y
_atom_site_fract_z
Co1 0.000 0.000 0.000
P1 0.697 0.697 0.746
S1 0.073 0.073 0.433
N1 0.575 0.575 0.899
# * energy relative to the lowest polymorph listed for this composition: 0.47 eV/f.u.
# * E: -6.16 eV/atom
# * uncorrected formation energy: 0.084 eV per atom
# * SG: Cm, No. 8
# * magnetic moment: 0.0 μB per cell